Record 1
CeIN | GGA-PBE | relaxed

The structure in CIF format:
```
data_CeIN
_space_group_name_H-M_alt 'I 4 m m'
_space_group_IT_number 107
_space_group_name_Hall 'I 4 -2'
_cell_length_a 3.421
_cell_length_b 3.421
_cell_length_c 13.807
_cell_angle_alpha 90.00
_cell_angle_beta 90.00
_cell_angle_gamma 90.00
loop_
_atom_site_label
_atom_site_fract_x
_atom_site_fract_y
_atom_site_fract_z
Ce1 0.000 0.000 0.000
I1 0.000 0.000 0.226
N1 0.000 0.000 0.491
```

Properties
VASP energy: -6.091 eV per atom
uncorrected formation energy: -2.5 eV/f.u.
calculated volume: 26.94 Å³/atom

---

Record 2
CeI4N2 | GGA-PBE | relaxed

The structure in CIF format:
```
data_CeI4N2
_space_group_name_H-M_alt 'P -1'
_space_group_IT_number 2
_cell_length_a 4.102
_cell_length_b 8.129
_cell_length_c 8.135
_cell_angle_alpha 102.35
_cell_angle_beta 104.20
_cell_angle_gamma 104.32
loop_
_space_group_symop_operation_xyz
'x,y,z'
'-x,-y,-z'
loop_
_atom_site_label
_atom_site_fract_x
_atom_site_fract_y
_atom_site_fract_z
Ce1 0.000 0.000 0.000
I1 0.244 0.732 0.743
I2 0.490 0.225 0.758
N1 0.008 0.830 0.184
```

Properties
VASP energy: -4.075 eV per atom
uncorrected formation energy: 0.3 eV/f.u.
calculated volume: 34.81 Å³/atom

---

Record 3
Ce2I4N | GGA-PBE | relaxed

The structure in CIF format:
```
data_Ce2I4N
_space_group_name_H-M_alt 'P 42/m n m'
_space_group_IT_number 136
_space_group_name_Hall '-P 4n 2n'
_cell_length_a 13.212
_cell_length_b 13.212
_cell_length_c 3.708
_cell_angle_alpha 90.00
_cell_angle_beta 90.00
_cell_angle_gamma 90.00
loop_
_atom_site_label
_atom_site_fract_x
_atom_site_fract_y
_atom_site_fract_z
Ce1 0.086 0.086 0.000
I1 0.047 0.272 0.500
N1 0.000 0.000 0.500
```

Properties
VASP energy: -4.918 eV per atom
uncorrected formation energy: -8.0 eV/f.u.
calculated volume: 46.24 Å³/atom

---

Record 4
CeIN | GGA-PBE | relaxed

The structure in CIF format:
```
data_CeIN
_space_group_name_H-M_alt 'P -6 m 2'
_space_group_IT_number 187
_space_group_name_Hall 'P -6 2'
_cell_length_a 3.9022
_cell_length_b 3.9022
_cell_length_c 5.2875
_cell_angle_alpha 90.00
_cell_angle_beta 90.00
_cell_angle_gamma 120.00
loop_
_atom_site_label
_atom_site_fract_x
_atom_site_fract_y
_atom_site_fract_z
Ce1 0.0000 0.0000 0.0000
I1 0.6667 0.3333 0.5000
N1 0.3333 0.6667 0.0000
```

Properties
VASP energy: -6.499 eV per atom
uncorrected formation energy: -3.7 eV/f.u.
calculated volume: 23.24 Å³/atom

---

uncorrected formation energy of number 1 (CeIN)? -2.5 eV/f.u.

---

Among the records above, which one has the lowest uncorrected formation energy? Ce2I4N

---

What is the VASP energy in the second record? -4.075 eV per atom

---

Among the records above, which one has the highest VASP energy? CeI4N2